Material: Er7Ge2Pt2
Method: DFT, PBE
State: relaxed

Cell and atoms, written as POSCAR:
```
Er7Ge2Pt2
1.0
-2.147 6.189 -1.496
-6.300 -1.654 2.197
1.994 0.855 6.360
Er Ge Pt
7 2 2
Cartesian
-0.620 0.003 3.744
-5.756 1.865 0.886
-5.833 5.387 3.317
-0.696 3.525 6.176
0.000 0.000 0.000
-4.812 2.279 4.084
-1.641 3.111 2.977
-3.270 4.699 4.914
-3.183 0.691 2.147
-0.990 4.699 0.698
-5.463 0.691 6.363
```

Computed properties:
For the density of states at the Fermi level, the calculation gives 0.7577 states/eV/atom. Its size of the total moment is 0.00 μB/f.u. Its space group is Cmmm, No. 65. The calculation puts the energy at -59.99 eV per cell.